No. 1
VASP calculation (PBE-GGA) on a geometry-optimized NaHoSnI6 structure.

Results
Total energy   -3.16 eV/atom
Space group   P-31c
Theoretical density   4.73 g cm⁻³

Unit cell a=7.8565 b=7.8565 c=14.0360 alpha=90.00 beta=90.00 gamma=120.00
Closest atoms and distances in Å follow each position.
Fractional coordinates of all 18 atoms:
I (0.3348, 0.3519, 0.8749)  1 Ho 3.04, 1 Na 3.21, 1 Sn 3.22
I (0.3519, 0.3348, 0.3749)  1 Ho 3.04, 1 Na 3.21, 1 Sn 3.22
I (0.0171, 0.3519, 0.6251)  1 Ho 3.04, 1 Na 3.21, 1 Sn 3.22
Na (0.3333, 0.6667, 0.2500)  6 I 3.21
I (0.3519, 0.0171, 0.1251)  1 Ho 3.04, 1 Na 3.21, 1 Sn 3.22
Ho (0.6667, 0.3333, 0.2500)  6 I 3.04
Na (0.6667, 0.3333, 0.7500)  6 I 3.21
I (0.6481, 0.9829, 0.8749)  1 Ho 3.04, 1 Na 3.21, 1 Sn 3.22
Sn (0.0000, 0.0000, 0.5000)  6 I 3.22
I (0.6652, 0.6481, 0.1251)  1 Ho 3.04, 1 Na 3.21, 1 Sn 3.22
I (0.9829, 0.6481, 0.3749)  1 Ho 3.04, 1 Na 3.21, 1 Sn 3.22
Sn (0.0000, 0.0000, 0.0000)  6 I 3.22
I (0.6652, 0.0171, 0.3749)  1 Ho 3.04, 1 Na 3.21, 1 Sn 3.22
I (0.3348, 0.9829, 0.6251)  1 Ho 3.04, 1 Na 3.21, 1 Sn 3.22
Ho (0.3333, 0.6667, 0.7500)  6 I 3.04
I (0.0171, 0.6652, 0.8749)  1 Ho 3.04, 1 Na 3.21, 1 Sn 3.22
I (0.6481, 0.6652, 0.6251)  1 Ho 3.04, 1 Na 3.21, 1 Sn 3.22
I (0.9829, 0.3348, 0.1251)  1 Ho 3.04, 1 Na 3.21, 1 Sn 3.22


No. 2
VASP calculation (PBE-GGA) on a geometry-optimized V3Ni3C structure.

Results
Total energy   -7.96 eV/atom
Space group   Fd-3m
Theoretical density   7.24 g cm⁻³

Unit cell a=7.6201 b=7.6201 c=7.6201 alpha=60.00 beta=60.00 gamma=60.00
Closest atoms and distances in Å follow each position.
Fractional coordinates of all 28 atoms:
V (0.8113, 0.1887, 0.1887)  2 C 2.02
Ni (0.8356, 0.8356, 0.8356)  6 Ni 2.35-2.61, 3 V 2.52
Ni (0.4144, 0.7569, 0.4144)  6 Ni 2.35-2.61, 3 V 2.52
V (0.1887, 0.8113, 0.1887)  2 C 2.02
C (0.1250, 0.1250, 0.6250)  6 V 2.02
V (0.0613, 0.4387, 0.4387)  2 C 2.02
V (0.8113, 0.8113, 0.1887)  2 C 2.02
Ni (0.6250, 0.6250, 0.1250)  6 Ni 2.35
Ni (0.8356, 0.8356, 0.4931)  6 Ni 2.35-2.61, 3 V 2.52
Ni (0.1250, 0.6250, 0.6250)  6 Ni 2.35
C (0.1250, 0.6250, 0.1250)  6 V 2.02
V (0.4387, 0.4387, 0.0613)  2 C 2.02
C (0.1250, 0.1250, 0.1250)  6 V 2.02
Ni (0.4144, 0.4144, 0.7569)  6 Ni 2.35-2.61, 3 V 2.52
Ni (0.4144, 0.4144, 0.4144)  6 Ni 2.35-2.61, 3 V 2.52
Ni (0.8356, 0.4931, 0.8356)  6 Ni 2.35-2.61, 3 V 2.52
Ni (0.4931, 0.8356, 0.8356)  6 Ni 2.35-2.61, 3 V 2.52
V (0.0613, 0.0613, 0.4387)  2 C 2.02
V (0.0613, 0.4387, 0.0613)  2 C 2.02
V (0.1887, 0.8113, 0.8113)  2 C 2.02
V (0.8113, 0.1887, 0.8113)  2 C 2.02
C (0.6250, 0.1250, 0.1250)  6 V 2.02
V (0.4387, 0.0613, 0.4387)  2 C 2.02
Ni (0.6250, 0.6250, 0.6250)  6 Ni 2.35
V (0.1887, 0.1887, 0.8113)  2 C 2.02
Ni (0.7569, 0.4144, 0.4144)  6 Ni 2.35-2.61, 3 V 2.52
Ni (0.6250, 0.1250, 0.6250)  6 Ni 2.35
V (0.4387, 0.0613, 0.0613)  2 C 2.02


No. 3
VASP calculation (PBE-GGA) on a geometry-optimized BaCo2Ag structure.

Results
Total energy   -3.88 eV/atom
Space group   Immm
Theoretical density   7.22 g cm⁻³

Unit cell a=5.5396 b=5.5396 c=5.5396 alpha=142.15 beta=125.61 gamma=68.16
Closest atoms and distances in Å follow each position.
Fractional coordinates of all 4 atoms:
Co (0.9741, 0.9741, 0.0000)  2 Ag 2.73
Co (0.5259, 0.5259, 0.0000)  2 Ag 2.73
Ba (0.2500, 0.7500, 0.5000)  4 Ag 3.10, 8 Co 3.10-3.26
Ag (0.7500, 0.2500, 0.5000)  4 Co 2.73


No. 4
VASP calculation (PBE-GGA) on a geometry-optimized LaBe2Os structure.

Results
Space group   Amm2
Theoretical density   9.00 g cm⁻³
E above lowest polymorph   169 meV/atom

Unit cell a=3.4366 b=3.1554 c=6.1106 alpha=75.07 beta=90.00 gamma=90.00
Closest atoms and distances in Å follow each position.
Fractional coordinates of all 4 atoms:
La (0.0000, 0.4478, 0.4801)  5 Be 2.89-2.99, 2 La 3.16
Be (0.0000, 0.2032, 0.9689)  2 Be 2.06
Be (0.5000, 0.1062, 0.1623)  2 Be 2.06, 2 Os 2.26
Os (0.5000, 0.7429, 0.8887)  6 Be 2.26-2.38


No. 5
VASP calculation (PBE-GGA) on a geometry-optimized TmZr2N structure.

Results
Total energy   -8.13 eV/atom
Space group   R-3m
Theoretical density   7.44 g cm⁻³

Unit cell a=3.2803 b=3.2803 c=8.9534 alpha=79.44 beta=79.44 gamma=60.00
Closest atoms and distances in Å follow each position.
Fractional coordinates of all 4 atoms:
N (0.5000, 0.5000, 0.5000)  6 Zr 2.27
Tm (0.0000, 0.0000, 0.0000)  2 Zr 3.13, 6 Tm 3.28
Zr (0.8807, 0.8807, 0.3578)  3 N 2.27
Zr (0.1193, 0.1193, 0.6422)  3 N 2.27


No. 6
VASP calculation (PBE-GGA) on a geometry-optimized ZnMoN2 structure.

Results
Total energy   -7.46 eV/atom
Space group   P6_3mc
Theoretical density   7.27 g cm⁻³

Unit cell a=2.9413 b=2.9413 c=11.5461 alpha=90.00 beta=90.00 gamma=120.00
Closest atoms and distances in Å follow each position.
Fractional coordinates of all 8 atoms:
Mo (0.0000, 0.0000, 0.6078)  6 N 2.09-2.16
Zn (0.6667, 0.3333, 0.3376)  1 N 1.90
Mo (0.6667, 0.3333, 0.1078)  6 N 2.09-2.16
Zn (0.0000, 0.0000, 0.8376)  1 N 1.90
N (0.6667, 0.3333, 0.7234)  3 Zn 2.15, 3 Mo 2.16
N (0.6667, 0.3333, 0.5022)  1 Zn 1.90, 3 Mo 2.09
N (0.0000, 0.0000, 0.2234)  3 Zn 2.15, 3 Mo 2.16
N (0.0000, 0.0000, 0.0022)  1 Zn 1.90, 3 Mo 2.09


No. 7
VASP calculation (PBE-GGA) on a geometry-optimized Tb5Pm7Y structure.

Results
Total energy   -4.61 eV/atom
Space group   Imm2
Theoretical density   7.03 g cm⁻³

Unit cell a=6.7260 b=8.8308 c=8.8308 alpha=80.11 beta=67.62 gamma=67.62
Closest atoms and distances in Å follow each position.
Fractional coordinates of all 13 atoms:
Pm (0.4820, 0.8455, 0.1905)  5 Tb 3.47-3.54, 4 Pm 3.49-3.80
Tb (0.9959, 0.0010, 0.5418)  2 Tb 3.13-3.17, 3 Pm 3.45-3.50
Tb (0.9959, 0.5418, 0.0010)  2 Tb 3.13-3.17, 3 Pm 3.45-3.50
Y (0.0419, 0.9581, 0.9581)  7 Pm 3.65-3.96, 6 Tb 3.75-4.02
Pm (0.4228, 0.5772, 0.5772)  7 Pm 3.61-3.94, 4 Tb 3.80
Pm (0.9799, 0.3491, 0.6911)  5 Tb 3.50-3.52, 4 Pm 3.57-3.89, 1 Y 3.81
Pm (0.9799, 0.6911, 0.3491)  5 Tb 3.50-3.52, 4 Pm 3.57-3.89, 1 Y 3.81
Tb (0.7305, 0.7695, 0.7695)  4 Tb 3.17, 4 Pm 3.51
Tb (0.4614, 0.0010, 0.5418)  2 Tb 3.13-3.17, 3 Pm 3.45-3.50
Pm (0.7309, 0.2691, 0.2691)  3 Pm 3.36-3.61, 4 Tb 3.56, 1 Y 3.65
Tb (0.4614, 0.5418, 0.0010)  2 Tb 3.13-3.17, 3 Pm 3.45-3.50
Pm (0.4820, 0.1905, 0.8455)  5 Tb 3.47-3.54, 4 Pm 3.49-3.80
Pm (0.2356, 0.2644, 0.2644)  6 Pm 3.36-3.57, 4 Tb 3.45


No. 8
VASP calculation (PBE-GGA) on a geometry-optimized TiBeSi structure.

Results
Total energy   -5.21 eV/atom
Space group   I4_1md
Theoretical density   2.93 g cm⁻³

Unit cell a=4.1867 b=4.1867 c=6.2365 alpha=109.61 beta=109.61 gamma=90.00
Closest atoms and distances in Å follow each position.
Fractional coordinates of all 6 atoms:
Be (0.0020, 0.5020, 0.0039)  3 Ti 2.14-2.31, 3 Si 2.15-2.24
Ti (0.5416, 0.5416, 0.0832)  3 Be 2.14-2.31
Si (0.9564, 0.9564, 0.9129)  3 Be 2.15-2.24
Si (0.2064, 0.7064, 0.4129)  3 Be 2.15-2.24
Ti (0.7916, 0.2916, 0.5832)  3 Be 2.14-2.31
Be (0.7520, 0.7520, 0.5039)  3 Ti 2.14-2.31, 3 Si 2.15-2.24


No. 9
VASP calculation (PBE-GGA) on a geometry-optimized Pa3Be6Pt20 structure.

Results
Total energy   -6.67 eV/atom
Space group   Fm-3m
Theoretical density   17.49 g cm⁻³

Unit cell a=8.5470 b=8.5470 c=8.5470 alpha=60.00 beta=60.00 gamma=60.00
Closest atoms and distances in Å follow each position.
Fractional coordinates of all 29 atoms:
Pa (0.7500, 0.7500, 0.7500)  4 Pt 2.78
Pt (0.0000, 0.0000, 0.6610)  2 Be 2.40
Pt (0.3827, 0.3827, 0.8518)  3 Be 2.41
Be (0.2724, 0.2724, 0.7276)  8 Pt 2.40-2.41
Pt (0.6610, 0.0000, 0.3390)  2 Be 2.40
Pt (0.3827, 0.8518, 0.3827)  3 Be 2.41
Be (0.2724, 0.7276, 0.2724)  8 Pt 2.40-2.41
Pt (0.0000, 0.3390, 0.6610)  2 Be 2.40
Pt (0.0000, 0.3390, 0.0000)  2 Be 2.40
Pt (0.6173, 0.6173, 0.1482)  3 Be 2.41
Be (0.2724, 0.7276, 0.7276)  8 Pt 2.40-2.41
Pa (0.0000, 0.0000, 0.0000)  12 Pt 2.90
Be (0.7276, 0.2724, 0.7276)  8 Pt 2.40-2.41
Pt (0.6173, 0.1482, 0.6173)  3 Be 2.41
Pt (0.6173, 0.6173, 0.6173)  3 Be 2.41
Pt (0.0000, 0.6610, 0.3390)  2 Be 2.40
Pt (0.3390, 0.0000, 0.6610)  2 Be 2.40
Be (0.7276, 0.7276, 0.2724)  8 Pt 2.40-2.41
Pt (0.0000, 0.6610, 0.0000)  2 Be 2.40
Pt (0.3390, 0.0000, 0.0000)  2 Be 2.40
Pt (0.8518, 0.3827, 0.3827)  3 Be 2.41
Pt (0.1482, 0.6173, 0.6173)  3 Be 2.41
Pt (0.3827, 0.3827, 0.3827)  3 Be 2.41
Be (0.7276, 0.2724, 0.2724)  8 Pt 2.40-2.41
Pt (0.0000, 0.0000, 0.3390)  2 Be 2.40
Pt (0.6610, 0.3390, 0.0000)  2 Be 2.40
Pt (0.3390, 0.6610, 0.0000)  2 Be 2.40
Pa (0.2500, 0.2500, 0.2500)  4 Pt 2.78
Pt (0.6610, 0.0000, 0.0000)  2 Be 2.40


No. 10
VASP calculation (PBE-GGA) on a geometry-optimized TbSmTeSe2 structure.

Results
Total energy   -5.25 eV/atom
Space group   I4mm
Theoretical density   6.39 g cm⁻³

Unit cell a=4.6592 b=4.6592 c=7.8406 alpha=107.28 beta=107.28 gamma=90.00
Closest atoms and distances in Å follow each position.
Fractional coordinates of all 5 atoms:
Se (0.2515, 0.7515, 0.5031)  2 Tb 2.79, 2 Sm 2.85
Te (0.5010, 0.5010, 0.0021)  4 Sm 3.82, 4 Tb 3.86, 8 Se 4.25-4.26
Se (0.7515, 0.2515, 0.5031)  2 Tb 2.79, 2 Sm 2.85
Tb (0.8592, 0.8592, 0.7184)  4 Se 2.79
Sm (0.1367, 0.1367, 0.2735)  4 Se 2.85